Record 1
{
  "formula": "Y5HgRh4",
  "functional": "PBE",
  "state": "relaxed",
  "magnetic_moment_mub_per_fu": 0.000,
  "formation_energy_mev_per_atom": -778,
  "lattice": [[3.479, 0.000, 0.000], [0.000, 3.479, 0.000], [0.000, 0.000, 17.721]],
  "species": ["Y", "Y", "Y", "Y", "Y", "Hg", "Rh", "Rh", "Rh", "Rh"],
  "fractional_positions": [[0.000, 0.000, 0.000], [0.000, 0.000, 0.191], [0.000, 0.000, 0.381], [0.000, 0.000, 0.619], [0.000, 0.000, 0.809], [0.500, 0.500, 0.500], [0.500, 0.500, 0.096], [0.500, 0.500, 0.290], [0.500, 0.500, 0.710], [0.500, 0.500, 0.904]]
}

***

Record 2
{
  "formula": "Y3HgRh4",
  "functional": "PBE",
  "state": "relaxed",
  "magnetic_moment_mub_per_fu": 0.000,
  "formation_energy_mev_per_atom": -688,
  "lattice": [[2.394, 1.382, 7.800], [-2.394, 1.382, 7.800], [0.000, -2.764, 7.800]],
  "species": ["Y", "Y", "Y", "Hg", "Rh", "Rh", "Rh", "Rh"],
  "fractional_positions": [[0.000, 0.000, 0.000], [0.243, 0.243, 0.243], [0.757, 0.757, 0.757], [0.500, 0.500, 0.500], [0.121, 0.121, 0.121], [0.374, 0.374, 0.374], [0.626, 0.626, 0.626], [0.879, 0.879, 0.879]]
}

***

Record 3
{
  "formula": "YHgRh",
  "functional": "PBE",
  "state": "relaxed",
  "magnetic_moment_mub_per_fu": 0.000,
  "formation_energy_mev_per_atom": -491,
  "lattice": [[4.179, 0.000, 0.000], [0.000, 4.179, 0.000], [0.000, 0.000, 7.460]],
  "species": ["Y", "Y", "Hg", "Hg", "Rh", "Rh"],
  "fractional_positions": [[0.250, 0.250, 0.148], [0.750, 0.750, 0.852], [0.250, 0.750, 0.500], [0.750, 0.250, 0.500], [0.250, 0.250, 0.774], [0.750, 0.750, 0.226]]
}

***

Record 4
{
  "formula": "YHg4Rh",
  "functional": "PBE",
  "state": "relaxed",
  "magnetic_moment_mub_per_fu": 0.000,
  "formation_energy_mev_per_atom": 5,
  "lattice": [[0.000, 4.034, 4.034], [4.034, 0.000, 4.034], [4.034, 4.034, 0.000]],
  "species": ["Y", "Hg", "Hg", "Hg", "Hg", "Rh"],
  "fractional_positions": [[0.000, 0.000, 0.000], [0.127, 0.624, 0.624], [0.624, 0.127, 0.624], [0.624, 0.624, 0.127], [0.624, 0.624, 0.624], [0.250, 0.250, 0.250]]
}

***

Record 5
{
  "formula": "Y5HgRh2",
  "functional": "PBE",
  "state": "relaxed",
  "magnetic_moment_mub_per_fu": 0.000,
  "formation_energy_mev_per_atom": -632,
  "lattice": [[-3.869, 3.869, 6.775], [3.869, -3.869, 6.775], [3.869, 3.869, -6.775]],
  "species": ["Y", "Y", "Y", "Y", "Y", "Y", "Y", "Y", "Y", "Y", "Hg", "Hg", "Rh", "Rh", "Rh", "Rh"],
  "fractional_positions": [[0.000, 0.000, 0.000], [0.024, 0.524, 0.822], [0.202, 0.024, 0.500], [0.298, 0.798, 0.822], [0.476, 0.298, 0.500], [0.500, 0.500, 0.000], [0.524, 0.702, 0.500], [0.702, 0.202, 0.178], [0.798, 0.976, 0.500], [0.976, 0.476, 0.178], [0.250, 0.250, 0.000], [0.750, 0.750, 0.000], [0.139, 0.361, 0.500], [0.361, 0.861, 0.223], [0.639, 0.139, 0.777], [0.861, 0.639, 0.500]]
}

***

Record 6
{
  "formula": "Y3Hg2Rh3",
  "functional": "PBE",
  "state": "relaxed",
  "magnetic_moment_mub_per_fu": 0.000,
  "formation_energy_mev_per_atom": -537,
  "lattice": [[8.299, 0.000, 0.000], [-4.149, 7.187, 0.000], [0.000, 0.000, 5.828]],
  "species": ["Y", "Y", "Y", "Y", "Y", "Y", "Hg", "Hg", "Hg", "Hg", "Rh", "Rh", "Rh", "Rh", "Rh", "Rh"],
  "fractional_positions": [[0.000, 0.280, 0.250], [0.000, 0.720, 0.750], [0.280, 0.000, 0.250], [0.280, 0.280, 0.750], [0.720, 0.000, 0.750], [0.720, 0.720, 0.250], [0.333, 0.667, 0.000], [0.333, 0.667, 0.500], [0.667, 0.333, 0.000], [0.667, 0.333, 0.500], [0.000, 0.380, 0.750], [0.000, 0.620, 0.250], [0.380, 0.000, 0.750], [0.380, 0.380, 0.250], [0.620, 0.000, 0.250], [0.620, 0.620, 0.750]]
}

***

Record 7
{
  "formula": "YHgRh3",
  "functional": "PBE",
  "state": "relaxed",
  "relative_energy_kj_per_mol_fu": 0.0,
  "magnetic_moment_mub_per_fu": 0.682,
  "formation_energy_mev_per_atom": 841,
  "lattice": [[4.910, 0.000, 0.000], [0.000, 4.910, 0.000], [0.000, 0.000, 4.910]],
  "species": ["Y", "Hg", "Rh", "Rh", "Rh"],
  "fractional_positions": [[0.000, 0.000, 0.000], [0.500, 0.500, 0.500], [0.000, 0.500, 0.500], [0.500, 0.000, 0.500], [0.500, 0.500, 0.000]]
}

***

Record 8
{
  "formula": "Y3HgRh",
  "functional": "PBE",
  "state": "relaxed",
  "relative_energy_kj_per_mol_fu": 8.5,
  "magnetic_moment_mub_per_fu": 0.000,
  "formation_energy_mev_per_atom": -531,
  "lattice": [[7.804, -2.053, 0.000], [7.804, 2.053, 0.000], [-5.782, 0.000, 8.383]],
  "species": ["Y", "Y", "Y", "Y", "Y", "Y", "Hg", "Hg", "Rh", "Rh"],
  "fractional_positions": [[0.091, 0.091, 0.447], [0.333, 0.333, 0.199], [0.364, 0.364, 0.794], [0.636, 0.636, 0.206], [0.667, 0.667, 0.801], [0.909, 0.909, 0.553], [0.076, 0.076, 0.927], [0.924, 0.924, 0.073], [0.268, 0.268, 0.411], [0.732, 0.732, 0.589]]
}

***

Record 9
{
  "formula": "Y6HgRh",
  "functional": "PBE",
  "state": "relaxed",
  "magnetic_moment_mub_per_fu": 0.000,
  "formation_energy_mev_per_atom": -165,
  "lattice": [[6.879, 0.000, 0.000], [-3.437, 5.966, 0.000], [-3.427, -1.987, 6.316]],
  "species": ["Y", "Y", "Y", "Y", "Y", "Y", "Hg", "Rh"],
  "fractional_positions": [[0.032, 0.080, 0.253], [0.301, 0.721, 0.253], [0.325, 0.547, 0.747], [0.675, 0.453, 0.253], [0.699, 0.279, 0.747], [0.968, 0.920, 0.747], [0.500, 0.000, 0.000], [0.500, 0.500, 0.500]]
}

***

Record 10
{
  "formula": "Y4Hg5Rh2",
  "functional": "PBE",
  "state": "relaxed",
  "magnetic_moment_mub_per_fu": 0.000,
  "formation_energy_mev_per_atom": -576,
  "lattice": [[7.708, 0.000, 0.000], [0.000, 3.625, 0.000], [-0.742, 0.000, 9.461]],
  "species": ["Y", "Y", "Y", "Y", "Hg", "Hg", "Hg", "Hg", "Hg", "Rh", "Rh"],
  "fractional_positions": [[0.179, 0.000, 0.351], [0.218, 0.000, 0.938], [0.782, 0.000, 0.062], [0.821, 0.000, 0.649], [0.170, 0.500, 0.645], [0.455, 0.500, 0.168], [0.500, 0.500, 0.500], [0.545, 0.500, 0.832], [0.830, 0.500, 0.355], [0.078, 0.500, 0.141], [0.922, 0.500, 0.859]]
}

***

Record 11
{
  "formula": "YHgRh",
  "functional": "PBE",
  "state": "relaxed",
  "magnetic_moment_mub_per_fu": 0.000,
  "formation_energy_mev_per_atom": -434,
  "lattice": [[4.708, 0.000, 0.000], [-2.354, 4.077, 0.000], [0.000, 0.000, 3.375]],
  "species": ["Y", "Hg", "Rh"],
  "fractional_positions": [[0.000, 0.000, 0.000], [0.667, 0.333, 0.500], [0.333, 0.667, 0.500]]
}

***

Record 12
{
  "formula": "Y5Hg2Rh2",
  "functional": "PBE",
  "state": "relaxed",
  "magnetic_moment_mub_per_fu": 0.000,
  "formation_energy_mev_per_atom": -628,
  "lattice": [[7.947, -3.750, 0.000], [7.947, 3.750, 0.000], [0.000, 0.000, 7.637]],
  "species": ["Y", "Y", "Y", "Y", "Y", "Y", "Y", "Y", "Y", "Y", "Hg", "Hg", "Hg", "Hg", "Rh", "Rh", "Rh", "Rh"],
  "fractional_positions": [[0.000, 0.000, 0.000], [0.048, 0.704, 0.671], [0.204, 0.548, 0.171], [0.296, 0.952, 0.671], [0.452, 0.796, 0.171], [0.500, 0.500, 0.500], [0.548, 0.204, 0.829], [0.704, 0.048, 0.329], [0.796, 0.452, 0.829], [0.952, 0.296, 0.329], [0.214, 0.214, 0.000], [0.286, 0.286, 0.500], [0.714, 0.714, 0.500], [0.786, 0.786, 0.000], [0.130, 0.870, 0.367], [0.370, 0.630, 0.867], [0.630, 0.370, 0.133], [0.870, 0.130, 0.633]]
}

***

Record 13
{
  "formula": "YHg3Rh",
  "functional": "PBE",
  "state": "relaxed",
  "relative_energy_kj_per_mol_fu": 461.0,
  "magnetic_moment_mub_per_fu": 0.038,
  "formation_energy_mev_per_atom": 1109,
  "lattice": [[5.669, 0.000, 0.000], [0.000, 5.669, 0.000], [0.000, 0.000, 5.669]],
  "species": ["Y", "Hg", "Hg", "Hg", "Rh"],
  "fractional_positions": [[0.000, 0.000, 0.000], [0.000, 0.000, 0.500], [0.000, 0.500, 0.000], [0.500, 0.000, 0.000], [0.500, 0.500, 0.500]]
}

***

Record 14
{
  "formula": "YHgRh",
  "functional": "PBE",
  "state": "relaxed",
  "magnetic_moment_mub_per_fu": 0.000,
  "formation_energy_mev_per_atom": -310,
  "lattice": [[3.799, 0.000, 0.000], [-1.899, 3.290, 0.000], [0.000, 0.000, 5.677]],
  "species": ["Y", "Hg", "Rh"],
  "fractional_positions": [[0.000, 0.000, 0.000], [0.667, 0.333, 0.414], [0.333, 0.667, 0.712]]
}

***

Record 15
{
  "formula": "YHgRh3",
  "functional": "PBE",
  "state": "relaxed",
  "relative_energy_kj_per_mol_fu": 104.0,
  "magnetic_moment_mub_per_fu": 0.939,
  "formation_energy_mev_per_atom": 1056,
  "lattice": [[4.915, 0.000, 0.000], [0.000, 4.915, 0.000], [0.000, 0.000, 4.915]],
  "species": ["Y", "Hg", "Rh", "Rh", "Rh"],
  "fractional_positions": [[0.000, 0.000, 0.000], [0.500, 0.500, 0.500], [0.000, 0.000, 0.500], [0.000, 0.500, 0.000], [0.500, 0.000, 0.000]]
}

***

Record 16
{
  "formula": "Y3HgRh",
  "functional": "PBE",
  "state": "relaxed",
  "relative_energy_kj_per_mol_fu": 116.8,
  "magnetic_moment_mub_per_fu": 0.000,
  "formation_energy_mev_per_atom": -306,
  "lattice": [[5.340, 0.000, 0.000], [0.000, 5.340, 0.000], [0.000, 0.000, 5.340]],
  "species": ["Y", "Y", "Y", "Hg", "Rh"],
  "fractional_positions": [[0.000, 0.000, 0.500], [0.000, 0.500, 0.000], [0.500, 0.000, 0.000], [0.500, 0.500, 0.500], [0.000, 0.000, 0.000]]
}

***

Record 17
{
  "formula": "Y11Hg9Rh4",
  "functional": "PBE",
  "state": "relaxed",
  "magnetic_moment_mub_per_fu": 0.000,
  "formation_energy_mev_per_atom": -630,
  "lattice": [[7.213, -10.783, 0.000], [7.213, 10.783, 0.000], [0.000, 0.000, 3.690]],
  "species": ["Y", "Y", "Y", "Y", "Y", "Y", "Y", "Y", "Y", "Y", "Y", "Hg", "Hg", "Hg", "Hg", "Hg", "Hg", "Hg", "Hg", "Hg", "Rh", "Rh", "Rh", "Rh"],
  "fractional_positions": [[0.000, 0.000, 0.000], [0.083, 0.416, 0.000], [0.167, 0.833, 0.000], [0.295, 0.295, 0.000], [0.367, 0.633, 0.000], [0.416, 0.083, 0.000], [0.584, 0.917, 0.000], [0.633, 0.367, 0.000], [0.705, 0.705, 0.000], [0.833, 0.167, 0.000], [0.917, 0.584, 0.000], [0.061, 0.212, 0.500], [0.150, 0.630, 0.500], [0.212, 0.061, 0.500], [0.370, 0.850, 0.500], [0.500, 0.500, 0.500], [0.630, 0.150, 0.500], [0.788, 0.939, 0.500], [0.850, 0.370, 0.500], [0.939, 0.788, 0.500], [0.257, 0.451, 0.500], [0.451, 0.257, 0.500], [0.549, 0.743, 0.500], [0.743, 0.549, 0.500]]
}

***

Record 18
{
  "formula": "YHg3Rh",
  "functional": "PBE",
  "state": "relaxed",
  "relative_energy_kj_per_mol_fu": 0.0,
  "magnetic_moment_mub_per_fu": 0.000,
  "formation_energy_mev_per_atom": 154,
  "lattice": [[5.135, 0.000, 0.000], [0.000, 5.135, 0.000], [0.000, 0.000, 5.135]],
  "species": ["Y", "Hg", "Hg", "Hg", "Rh"],
  "fractional_positions": [[0.000, 0.000, 0.000], [0.000, 0.500, 0.500], [0.500, 0.000, 0.500], [0.500, 0.500, 0.000], [0.500, 0.500, 0.500]]
}

***

Record 19
{
  "formula": "Y3HgRh",
  "functional": "PBE",
  "state": "relaxed",
  "relative_energy_kj_per_mol_fu": 0.0,
  "magnetic_moment_mub_per_fu": 0.000,
  "formation_energy_mev_per_atom": -548,
  "lattice": [[5.531, 0.000, 0.000], [-2.581, 5.654, 0.000], [-1.467, -2.383, 8.223]],
  "species": ["Y", "Y", "Y", "Y", "Y", "Y", "Hg", "Hg", "Rh", "Rh"],
  "fractional_positions": [[0.048, 0.179, 0.290], [0.291, 0.450, 0.731], [0.300, 0.801, 0.106], [0.700, 0.199, 0.894], [0.709, 0.550, 0.269], [0.952, 0.821, 0.710], [0.338, 0.744, 0.474], [0.662, 0.256, 0.526], [0.243, 0.241, 0.997], [0.757, 0.759, 0.003]]
}

***

Record 20
{
  "formula": "Y8Hg2Rh",
  "functional": "PBE",
  "state": "relaxed",
  "magnetic_moment_mub_per_fu": 0.000,
  "formation_energy_mev_per_atom": -344,
  "lattice": [[8.892, -2.621, 0.000], [8.892, 2.621, 0.000], [-1.936, 0.000, 6.588]],
  "species": ["Y", "Y", "Y", "Y", "Y", "Y", "Y", "Y", "Hg", "Hg", "Rh"],
  "fractional_positions": [[0.024, 0.024, 0.283], [0.200, 0.200, 0.809], [0.346, 0.346, 0.539], [0.412, 0.412, 0.068], [0.588, 0.588, 0.932], [0.654, 0.654, 0.461], [0.800, 0.800, 0.191], [0.976, 0.976, 0.717], [0.187, 0.187, 0.227], [0.813, 0.813, 0.773], [0.500, 0.500, 0.500]]
}